## P
The following is a DFT calculation (PBE-GGA) of Hg2SbAs2 after structural relaxation.

Summary:
Space group   I4/mmm (139)
Calculated density   8.905 g/cm3
Crystal system   tetragonal

Lattice parameters (Å, degrees): 9.334 9.334 9.334 156.86 156.86 32.95
Sites, in units of the cell vectors:
Hg1 0.102 0.102 0.000
Hg2 0.898 0.898 0.000
Sb1 0.500 0.500 0.000
As1 0.250 0.750 0.500
As2 0.750 0.250 0.500



## Q
The following is a DFT calculation (PBE-GGA) of Hg2SbAs2 after structural relaxation.

Summary:
Space group   I4/mmm (139)
Calculated density   8.140 g/cm3
Crystal system   tetragonal

Lattice parameters (Å, degrees): 8.795 8.795 8.795 153.29 153.29 38.14
Sites, in units of the cell vectors:
Hg1 0.250 0.750 0.500
Hg2 0.750 0.250 0.500
Sb1 0.000 0.000 0.000
As1 0.427 0.427 0.000
As2 0.573 0.573 0.000



## R
The following is a DFT calculation (PBE-GGA) of Hg2SbAs2 after structural relaxation.

Summary:
Space group   P4/mbm (127)
Calculated density   9.098 g/cm3
Crystal system   tetragonal

Lattice parameters (Å, degrees): 8.049 8.049 3.791 90.00 90.00 90.00
Sites, in units of the cell vectors:
Hg1 0.126 0.374 0.000
Hg2 0.374 0.874 0.000
Hg3 0.626 0.126 0.000
Hg4 0.874 0.626 0.000
Sb1 0.000 0.000 0.500
Sb2 0.500 0.500 0.500
As1 0.195 0.695 0.500
As2 0.305 0.195 0.500
As3 0.695 0.805 0.500
As4 0.805 0.305 0.500



Tell me which of them is the least stable. Sure, it is P.



## P
The following is a DFT calculation (PBE-GGA) of Hg3SbAs after structural relaxation.

Summary:
Space group   Pm-3m (221)
Calculated density   8.735 g/cm3
Crystal system   cubic

Lattice parameters (Å, degrees): 5.334 5.334 5.334 90.00 90.00 90.00
Sites, in units of the cell vectors:
Hg1 0.000 0.000 0.500
Hg2 0.000 0.500 0.000
Hg3 0.500 0.000 0.000
Sb1 0.500 0.500 0.500
As1 0.000 0.000 0.000



## Q
The following is a DFT calculation (PBE-GGA) of Hg3SbAs after structural relaxation.

Summary:
Space group   Pm-3m (221)
Calculated density   7.370 g/cm3
Crystal system   cubic

Lattice parameters (Å, degrees): 5.645 5.645 5.645 90.00 90.00 90.00
Sites, in units of the cell vectors:
Hg1 0.000 0.000 0.500
Hg2 0.000 0.500 0.000
Hg3 0.500 0.000 0.000
Sb1 0.000 0.000 0.000
As1 0.500 0.500 0.500



Tell me which of them is the least stable. Sure, it is Q.



## P
The following is a DFT calculation (PBE-GGA) of Sc2HgAs after structural relaxation.

Summary:
Space group   R3m (160)
Calculated density   6.691 g/cm3
Crystal system   trigonal

Lattice parameters (Å, degrees): 9.885 9.885 9.885 19.13 19.13 19.13
Sites, in units of the cell vectors:
Sc1 0.000 0.000 0.000
Sc2 0.245 0.245 0.245
Hg1 0.496 0.496 0.496
As1 0.741 0.741 0.741



## Q
The following is a DFT calculation (PBE-GGA) of Sc2HgAs after structural relaxation.

Summary:
Space group   R3m (160)
Calculated density   6.694 g/cm3
Crystal system   trigonal

Lattice parameters (Å, degrees): 7.704 7.704 7.704 28.27 28.27 28.27
Sites, in units of the cell vectors:
Sc1 0.000 0.000 0.000
Sc2 0.192 0.192 0.192
Hg1 0.764 0.764 0.764
As1 0.595 0.595 0.595



## R
The following is a DFT calculation (PBE-GGA) of Sc2HgAs after structural relaxation.

Summary:
Space group   P4mm (99)
Calculated density   6.695 g/cm3
Crystal system   tetragonal

Lattice parameters (Å, degrees): 3.995 3.995 5.678 90.00 90.00 90.00
Sites, in units of the cell vectors:
Sc1 0.000 0.000 0.000
Sc2 0.500 0.500 0.499
Hg1 0.000 0.000 0.500
As1 0.500 0.500 0.999



## S
The following is a DFT calculation (PBE-GGA) of Sc2HgAs after structural relaxation.

Summary:
Space group   Amm2 (38)
Calculated density   7.118 g/cm3
Crystal system   orthorhombic

Lattice parameters (Å, degrees): 3.974 5.679 5.679 41.69 90.00 90.00
Sites, in units of the cell vectors:
Sc1 0.000 0.000 0.000
Sc2 0.500 0.275 0.275
Hg1 0.000 0.732 0.732
As1 0.500 0.535 0.535



Tell me which of them is the least stable. Sure, it is P.